# RbGeAu3S4 | OQMD | PBE | relaxed
# Total energy = -3.8298 eV/atom
# Energy above the lowest structure with this stoichiometry = 0 meV per atom
data_RbGeAu3S4
_symmetry_space_group_name_H-M 'P 1 21/m 1'
_symmetry_Int_Tables_number 11
_symmetry_space_group_name_Hall '-P 2yb'
_cell_length_a 6.1156
_cell_length_b 7.5038
_cell_length_c 10.6575
_cell_angle_alpha 90.00
_cell_angle_beta 99.92
_cell_angle_gamma 90.00
loop_
_atom_site_label
_atom_site_type_symbol
_atom_site_fract_x
_atom_site_fract_y
_atom_site_fract_z
Rb1 Rb 0.1874 0.2500 0.3500
Ge1 Ge 0.0946 0.2500 0.7785
Au1 Au 0.3641 0.5570 0.0902
Au2 Au 0.4698 0.7500 0.3383
S1 S 0.0449 0.7500 0.0325
S2 S 0.1308 0.7500 0.4101
S3 S 0.2994 0.5015 0.7678


# TbDy | OQMD | PBE | relaxed
# Total energy = -2.6914 eV/atom
# Energy above the lowest structure with this stoichiometry = 1913 meV per atom
# ΔE_f = 1.92 eV per atom
data_TbDy
_symmetry_space_group_name_H-M 'F -4 3 m'
_symmetry_Int_Tables_number 216
_symmetry_space_group_name_Hall 'F -4 2 3'
_cell_length_a 6.9321
_cell_length_b 6.9321
_cell_length_c 6.9321
_cell_angle_alpha 90.00
_cell_angle_beta 90.00
_cell_angle_gamma 90.00
loop_
_atom_site_label
_atom_site_type_symbol
_atom_site_fract_x
_atom_site_fract_y
_atom_site_fract_z
Tb1 Tb 0.0000 0.0000 0.0000
Dy1 Dy 0.2500 0.2500 0.2500


> Which of these has the lowest total energy?

RbGeAu3S4


> What is the total energy in the second record?

-2.6914 eV/atom


Please write out number 2 again, unchanged.
# TbDy | OQMD | PBE | relaxed
# Total energy = -2.6914 eV/atom
# Energy above the lowest structure with this stoichiometry = 1913 meV per atom
# ΔE_f = 1.92 eV per atom
data_TbDy
_symmetry_space_group_name_H-M 'F -4 3 m'
_symmetry_Int_Tables_number 216
_symmetry_space_group_name_Hall 'F -4 2 3'
_cell_length_a 6.9321
_cell_length_b 6.9321
_cell_length_c 6.9321
_cell_angle_alpha 90.00
_cell_angle_beta 90.00
_cell_angle_gamma 90.00
loop_
_atom_site_label
_atom_site_type_symbol
_atom_site_fract_x
_atom_site_fract_y
_atom_site_fract_z
Tb1 Tb 0.0000 0.0000 0.0000
Dy1 Dy 0.2500 0.2500 0.2500